Version a
Below is a geometry-optimized Zr3CoBi structure, with properties calculated at the GGA-PBE level.

Cell: 5.345 5.345 5.345 Å, 90.00 90.00 90.00°
Positions (direct):
Zr: 0.000 0.000 0.500
Zr: 0.000 0.500 0.000
Zr: 0.500 0.000 0.000
Co: 0.500 0.500 0.500
Bi: 0.000 0.000 0.000

Summary:
Spin magnetization ... 0.00 Bohr magnetons per cell
SG ... Pm-3m, No. 221

=====

Version b
Below is a geometry-optimized Zr3CoBi structure, with properties calculated at the GGA-PBE level.

Cell: 7.644 3.994 7.858 Å, 90.00 116.14 90.00°
Positions (direct):
Zr: 0.032 0.250 0.215
Zr: 0.315 0.750 0.585
Zr: 0.321 0.250 0.908
Zr: 0.679 0.750 0.092
Zr: 0.685 0.250 0.415
Zr: 0.968 0.750 0.785
Co: 0.069 0.250 0.581
Co: 0.931 0.750 0.419
Bi: 0.330 0.750 0.200
Bi: 0.670 0.250 0.800

Summary:
Spin magnetization ... 0.00 Bohr magnetons per cell
SG ... P2_1/m, No. 11

=====

Version c
Below is a geometry-optimized Zr3CoBi structure, with properties calculated at the GGA-PBE level.

Cell: 4.875 4.875 4.875 Å, 90.00 90.00 90.00°
Positions (direct):
Zr: 0.000 0.000 0.500
Zr: 0.000 0.500 0.000
Zr: 0.500 0.000 0.000
Co: 0.000 0.000 0.000
Bi: 0.500 0.500 0.500

Summary:
Spin magnetization ... 0.00 Bohr magnetons per cell
SG ... Pm-3m, No. 221

=====

Version d
Below is a geometry-optimized Zr3CoBi structure, with properties calculated at the GGA-PBE level.

Cell: 7.556 7.556 4.759 Å, 90.00 90.00 124.88°
Positions (direct):
Zr: 0.000 0.500 0.500
Zr: 0.121 0.879 0.000
Zr: 0.295 0.295 0.500
Zr: 0.500 0.000 0.500
Zr: 0.705 0.705 0.500
Zr: 0.879 0.121 0.000
Co: 0.101 0.899 0.500
Co: 0.899 0.101 0.500
Bi: 0.359 0.641 0.000
Bi: 0.641 0.359 0.000

Summary:
Spin magnetization ... 0.00 Bohr magnetons per cell
SG ... Cmmm, No. 65

=====

Pick version b: it beats the second-best structure by 0.193 eV/atom.

=====

Version a
Below is a geometry-optimized Zr2Co2Bi structure, with properties calculated at the GGA-PBE level.

Cell: 5.884 5.884 5.884 Å, 135.78 135.78 64.33°
Positions (direct):
Zr: 0.250 0.750 0.500
Zr: 0.750 0.250 0.500
Co: 0.113 0.113 0.000
Co: 0.887 0.887 0.000
Bi: 0.500 0.500 0.000

Summary:
Spin magnetization ... 0.00 Bohr magnetons per cell
SG ... I4/mmm, No. 139

=====

Version b
Below is a geometry-optimized Zr2Co2Bi structure, with properties calculated at the GGA-PBE level.

Cell: 7.342 7.342 3.325 Å, 90.00 90.00 90.00°
Positions (direct):
Zr: 0.162 0.338 0.000
Zr: 0.338 0.838 0.000
Zr: 0.662 0.162 0.000
Zr: 0.838 0.662 0.000
Co: 0.126 0.626 0.500
Co: 0.374 0.126 0.500
Co: 0.626 0.874 0.500
Co: 0.874 0.374 0.500
Bi: 0.000 0.000 0.500
Bi: 0.500 0.500 0.500

Summary:
Spin magnetization ... 0.04 Bohr magnetons per cell
SG ... P4/mbm, No. 127

=====

Pick version b: it beats the second-best structure by 0.184 eV/atom.

=====

Version a
Below is a geometry-optimized ZrCoBi3 structure, with properties calculated at the GGA-PBE level.

Cell: 5.103 5.103 5.103 Å, 90.00 90.00 90.00°
Positions (direct):
Zr: 0.000 0.000 0.000
Co: 0.500 0.500 0.500
Bi: 0.000 0.500 0.500
Bi: 0.500 0.000 0.500
Bi: 0.500 0.500 0.000

Summary:
Spin magnetization ... 0.24 Bohr magnetons per cell
SG ... Pm-3m, No. 221

=====

Version b
Below is a geometry-optimized ZrCoBi3 structure, with properties calculated at the GGA-PBE level.

Cell: 5.634 5.634 5.634 Å, 90.00 90.00 90.00°
Positions (direct):
Zr: 0.000 0.000 0.000
Co: 0.500 0.500 0.500
Bi: 0.000 0.000 0.500
Bi: 0.000 0.500 0.000
Bi: 0.500 0.000 0.000

Summary:
Spin magnetization ... 2.29 Bohr magnetons per cell
SG ... Pm-3m, No. 221

=====

Pick version a: it beats the second-best structure by 0.443 eV/atom.

=====

Version a
Below is a geometry-optimized Zr4CoBi structure, with properties calculated at the GGA-PBE level.

Cell: 6.016 3.295 7.190 Å, 90.00 96.70 90.00°
Positions (direct):
Zr: 0.179 0.000 0.229
Zr: 0.234 0.500 0.625
Zr: 0.766 0.500 0.375
Zr: 0.821 0.000 0.771
Co: 0.500 0.000 0.500
Bi: 0.500 0.500 0.000

Summary:
Spin magnetization ... 0.00 Bohr magnetons per cell
SG ... P2/m, No. 10

=====

Version b
Below is a geometry-optimized Zr4CoBi structure, with properties calculated at the GGA-PBE level.

Cell: 5.641 6.185 7.752 Å, 90.00 97.87 90.00°
Positions (direct):
Zr: 0.109 0.250 0.051
Zr: 0.145 0.750 0.338
Zr: 0.374 0.505 0.787
Zr: 0.374 0.995 0.787
Zr: 0.626 0.005 0.213
Zr: 0.626 0.495 0.213
Zr: 0.855 0.250 0.662
Zr: 0.891 0.750 0.949
Co: 0.326 0.750 0.049
Co: 0.674 0.250 0.951
Bi: 0.275 0.250 0.437
Bi: 0.725 0.750 0.563

Summary:
Spin magnetization ... 0.00 Bohr magnetons per cell
SG ... P2_1/m, No. 11

=====

Pick version b: it beats the second-best structure by 0.350 eV/atom.

=====

Version a
Below is a geometry-optimized ZrCoBi2 structure, with properties calculated at the GGA-PBE level.

Cell: 5.015 5.015 5.015 Å, 60.00 60.00 60.00°
Positions (direct):
Zr: 0.000 0.000 0.000
Co: 0.500 0.500 0.500
Bi: 0.250 0.250 0.250
Bi: 0.750 0.750 0.750

Summary:
Spin magnetization ... 0.85 Bohr magnetons per cell
SG ... Fm-3m, No. 225

=====

Version b
Below is a geometry-optimized ZrCoBi2 structure, with properties calculated at the GGA-PBE level.

Cell: 6.278 6.278 6.278 Å, 104.32 104.32 120.36°
Positions (direct):
Zr: 0.000 0.000 0.000
Zr: 0.750 0.250 0.500
Co: 0.250 0.750 0.500
Co: 0.500 0.500 0.000
Bi: 0.181 0.625 0.056
Bi: 0.375 0.431 0.556
Bi: 0.569 0.125 0.944
Bi: 0.875 0.819 0.444

Summary:
Spin magnetization ... 0.94 Bohr magnetons per cell
SG ... I-42d, No. 122

=====

Pick version b: it beats the second-best structure by 0.045 eV/atom.

=====

Version a
Below is a geometry-optimized CsCrBi3 structure, with properties calculated at the GGA-PBE level.

Cell: 5.574 5.574 5.574 Å, 90.00 90.00 90.00°
Positions (direct):
Cs: 0.000 0.000 0.000
Cr: 0.500 0.500 0.500
Bi: 0.000 0.500 0.500
Bi: 0.500 0.000 0.500
Bi: 0.500 0.500 0.000

Summary:
Spin magnetization ... 3.13 Bohr magnetons per cell
SG ... Pm-3m, No. 221

=====

Version b
Below is a geometry-optimized CsCrBi3 structure, with properties calculated at the GGA-PBE level.

Cell: 6.287 6.287 6.287 Å, 90.00 90.00 90.00°
Positions (direct):
Cs: 0.000 0.000 0.000
Cr: 0.500 0.500 0.500
Bi: 0.000 0.000 0.500
Bi: 0.000 0.500 0.000
Bi: 0.500 0.000 0.000

Summary:
Spin magnetization ... 3.82 Bohr magnetons per cell
SG ... Pm-3m, No. 221

=====

Pick version a: it beats the second-best structure by 1.530 eV/atom.